First-principles (PBE) data for a relaxed Ac4SbSeS2 crystal, as listed in Alexandria via LeMat-Bulk.

Computed properties:
VASP energy, eV/atom: -5.798
Calculated volume, Å³/cell: 253.8
Formation energy from raw total energies, eV/f.u.: -14.09

Structure (POSCAR):
```
Ac4SbSeS2
1.0
7.728 0.000 0.000
0.000 4.473 0.000
-2.584 0.000 7.342
Ac Sb Se S
4 1 1 2
Direct
0.237 0.000 0.228
0.252 0.500 0.768
0.748 0.500 0.232
0.763 0.000 0.772
0.500 0.500 0.500
0.000 0.000 0.500
0.000 0.500 0.000
0.500 0.000 0.000
```

***

First-principles (PBE) data for a relaxed KHg2O2 crystal, as listed in Alexandria via LeMat-Bulk.

Computed properties:
VASP energy, eV/atom: -2.553
Calculated volume, Å³/cell: 117.6
E above lowest polymorph, meV per atom: 225.5
Formation energy from raw total energies, eV/f.u.: -1.15

Structure (POSCAR):
```
KHg2O2
1.0
3.845 0.000 0.000
-1.922 3.329 0.000
0.000 0.000 9.184
K Hg O
1 2 2
Direct
0.000 0.000 0.000
0.333 0.667 0.389
0.667 0.333 0.611
0.333 0.667 0.169
0.667 0.333 0.831
```

***

First-principles (PBE) data for a relaxed AcLaI crystal, as listed in Alexandria via LeMat-Bulk.

Computed properties:
VASP energy, eV/atom: -4.056
Calculated volume, Å³/cell: 116.5
E above lowest polymorph, meV per atom: 59.3
Formation energy from raw total energies, eV/f.u.: -1.58

Structure (POSCAR):
```
AcLaI
1.0
-1.960 1.960 7.584
1.960 -1.960 7.584
1.960 1.960 -7.584
Ac La I
1 1 1
Direct
0.000 0.000 0.000
0.683 0.683 0.000
0.329 0.329 0.000
```

***

First-principles (PBE) data for a relaxed LaRuSe crystal, as listed in Alexandria via LeMat-Bulk.

Computed properties:
VASP energy, eV/atom: -6.738
Calculated volume, Å³/cell: 65.7
E above lowest polymorph, meV per atom: 0.0
Formation energy from raw total energies, eV/f.u.: -2.52

Structure (POSCAR):
```
LaRuSe
1.0
4.319 0.000 0.000
-2.160 3.740 0.000
0.000 0.000 4.066
La Ru Se
1 1 1
Direct
0.000 0.000 0.000
0.667 0.333 0.500
0.333 0.667 0.500
```

***

First-principles (PBE) data for a relaxed PrAlZn crystal, as listed in Alexandria via LeMat-Bulk.

Computed properties:
VASP energy, eV/atom: -3.482
ΔH_f (0 K), eV per formula unit: -0.6
Calculated volume, Å³/cell: 66.7

Structure (POSCAR):
```
PrAlZn
1.0
-1.706 1.706 5.727
1.706 -1.706 5.727
1.706 1.706 -5.727
Pr Al Zn
1 1 1
Direct
0.000 0.000 0.000
0.304 0.304 0.000
0.691 0.691 0.000
```

***

First-principles (PBE) data for a relaxed LaScB2W crystal, as listed in Alexandria via LeMat-Bulk.

Computed properties:
VASP energy, eV/atom: -4.901
ΔH_f (0 K), eV per formula unit: 13.1
Calculated volume, Å³/cell: 102.8

Structure (POSCAR):
```
LaScB2W
1.0
4.430 0.000 0.000
0.000 4.430 0.000
0.000 0.000 5.238
La Sc B W
1 1 2 1
Direct
0.000 0.000 0.000
0.000 0.000 0.500
0.000 0.500 0.000
0.500 0.000 0.000
0.500 0.500 0.500
```

***

First-principles (PBE) data for a relaxed LiCa2Ce crystal, as listed in Alexandria via LeMat-Bulk.

Computed properties:
VASP energy, eV/atom: -2.682
ΔH_f (0 K), eV per formula unit: 1.1
Calculated volume, Å³/cell: 134.2
E above lowest polymorph, meV per atom: 103.2

Structure (POSCAR):
```
LiCa2Ce
1.0
1.755 1.013 12.575
-1.755 1.013 12.575
0.000 -2.026 12.575
Li Ca Ce
1 2 1
Direct
0.000 0.000 0.000
0.409 0.409 0.409
0.591 0.591 0.591
0.500 0.500 0.500
```

***

First-principles (PBE) data for a relaxed HoTh5In4 crystal, as listed in Alexandria via LeMat-Bulk.

Computed properties:
VASP energy, eV/atom: -5.320
ΔH_f (0 K), eV per formula unit: -0.6
Calculated volume, Å³/cell: 314.7

Structure (POSCAR):
```
HoTh5In4
1.0
-2.462 5.268 6.065
2.462 -5.268 6.065
2.462 5.268 -6.065
Ho Th In
1 5 4
Direct
0.000 0.000 0.000
0.018 0.336 0.682
0.346 0.664 0.682
0.500 0.500 0.000
0.654 0.336 0.318
0.982 0.664 0.318
0.247 0.247 0.000
0.297 0.000 0.297
0.703 0.000 0.703
0.753 0.753 0.000
```

***

First-principles (PBE) data for a relaxed Sm2ErTe2 crystal, as listed in Alexandria via LeMat-Bulk.

Computed properties:
VASP energy, eV/atom: -5.061
Calculated volume, Å³/cell: 159.2
Formation energy from raw total energies, eV/f.u.: -5.02

Structure (POSCAR):
```
Sm2ErTe2
1.0
-2.167 2.167 8.476
2.167 -2.167 8.476
2.167 2.167 -8.476
Sm Er Te
2 1 2
Direct
0.126 0.126 0.000
0.874 0.874 0.000
0.500 0.500 0.000
0.323 0.323 0.000
0.677 0.677 0.000
```

***

First-principles (PBE) data for a relaxed RbCd4Ga crystal, as listed in Alexandria via LeMat-Bulk.

Computed properties:
VASP energy, eV/atom: -1.270
ΔH_f (0 K), eV per formula unit: 0.0
Calculated volume, Å³/cell: 330.0
E above lowest polymorph, meV per atom: 0.0

Structure (POSCAR):
```
RbCd4Ga
1.0
2.376 -8.864 0.000
2.376 8.864 0.000
0.000 0.000 7.837
Rb Cd Ga
2 8 2
Direct
0.118 0.882 0.750
0.882 0.118 0.250
0.079 0.921 0.250
0.318 0.682 0.561
0.318 0.682 0.939
0.500 0.500 0.000
0.500 0.500 0.500
0.682 0.318 0.061
0.682 0.318 0.439
0.921 0.079 0.750
0.239 0.761 0.250
0.761 0.239 0.750
```

***

First-principles (PBE) data for a relaxed NaZrAl2 crystal, as listed in Alexandria via LeMat-Bulk.

Computed properties:
VASP energy, eV/atom: -4.488
ΔH_f (0 K), eV per formula unit: -0.6
Calculated volume, Å³/cell: 169.1
E above lowest polymorph, meV per atom: 0.0

Structure (POSCAR):
```
NaZrAl2
1.0
3.097 0.000 0.000
0.000 4.403 0.000
-1.545 0.000 12.400
Na Zr Al
2 2 4
Direct
0.000 0.000 0.000
0.415 0.500 0.837
0.129 0.000 0.258
0.251 0.000 0.507
0.578 0.500 0.154
0.688 0.500 0.378
0.797 0.500 0.600
0.855 0.000 0.717
```

***

First-principles (PBE) data for a relaxed Na2CaF4 crystal, as listed in Alexandria via LeMat-Bulk.

Computed properties:
VASP energy, eV/atom: -4.930
Calculated volume, Å³/cell: 192.1
E above lowest polymorph, meV per atom: 6.5
Formation energy from raw total energies, eV/f.u.: -22.38

Structure (POSCAR):
```
Na2CaF4
1.0
1.624 -5.482 0.000
1.624 5.482 0.000
0.000 0.000 10.787
Na Ca F
4 2 8
Direct
0.129 0.871 0.567
0.129 0.871 0.933
0.871 0.129 0.067
0.871 0.129 0.433
0.382 0.618 0.750
0.618 0.382 0.250
0.025 0.975 0.750
0.217 0.783 0.126
0.217 0.783 0.374
0.500 0.500 0.000
0.500 0.500 0.500
0.783 0.217 0.626
0.783 0.217 0.874
0.975 0.025 0.250
```

***

First-principles (PBE) data for a relaxed CaRu2Se crystal, as listed in Alexandria via LeMat-Bulk.

Computed properties:
VASP energy, eV/atom: -5.794
Calculated volume, Å³/cell: 71.1
Formation energy from raw total energies, eV/f.u.: 0.86

Structure (POSCAR):
```
CaRu2Se
1.0
-1.906 1.906 4.895
1.906 -1.906 4.895
1.906 1.906 -4.895
Ca Ru Se
1 2 1
Direct
0.000 0.000 0.000
0.250 0.750 0.500
0.750 0.250 0.500
0.500 0.500 0.000
```

***

First-principles (PBE) data for a relaxed Cs2HfNp2Se6 crystal, as listed in Alexandria via LeMat-Bulk.

Computed properties:
VASP energy, eV/atom: -6.594
Calculated volume, Å³/cell: 377.5
Formation energy from raw total energies, eV/f.u.: -14.09

Structure (POSCAR):
```
Cs2HfNp2Se6
1.0
3.575 -6.147 0.000
3.575 6.147 0.000
-2.442 0.000 8.591
Cs Hf Np Se
2 1 2 6
Direct
0.170 0.830 0.000
0.830 0.170 0.000
0.000 0.000 0.500
0.333 0.667 0.500
0.667 0.333 0.500
0.064 0.377 0.682
0.252 0.252 0.319
0.377 0.064 0.682
0.623 0.936 0.318
0.748 0.748 0.681
0.936 0.623 0.318
```

***

First-principles (PBE) data for a relaxed TaCrW2 crystal, as listed in Alexandria via LeMat-Bulk.

Computed properties:
VASP energy, eV/atom: -11.822
ΔH_f (0 K), eV per formula unit: 0.1
Calculated volume, Å³/cell: 62.5
E above lowest polymorph, meV per atom: 55.0

Structure (POSCAR):
```
TaCrW2
1.0
2.762 0.000 0.000
0.000 4.408 0.000
-0.900 0.000 5.132
Ta Cr W
1 1 2
Direct
0.000 0.000 0.000
0.247 0.500 0.755
0.489 0.000 0.509
0.739 0.500 0.260
```

***

First-principles (PBE) data for a relaxed BaAlN crystal, as listed in Alexandria via LeMat-Bulk.

Computed properties:
VASP energy, eV/atom: -5.087
Calculated volume, Å³/cell: 153.5
Formation energy from raw total energies, eV/f.u.: -1.27

Structure (POSCAR):
```
BaAlN
1.0
2.385 1.377 7.793
-2.385 1.377 7.793
0.000 -2.754 7.793
Ba Al N
2 2 2
Direct
0.110 0.110 0.110
0.890 0.890 0.890
0.309 0.309 0.309
0.691 0.691 0.691
0.231 0.231 0.231
0.769 0.769 0.769
```

***

First-principles (PBE) data for a relaxed Th2Cu3Ge4Ir crystal, as listed in Alexandria via LeMat-Bulk.

Computed properties:
VASP energy, eV/atom: -5.980
ΔH_f (0 K), eV per formula unit: -5.3
Calculated volume, Å³/cell: 181.7

Structure (POSCAR):
```
Th2Cu3Ge4Ir
1.0
4.272 0.000 0.000
0.000 4.272 0.000
0.000 0.000 9.959
Th Cu Ge Ir
2 3 4 1
Direct
0.000 0.500 0.246
0.500 0.000 0.754
0.000 0.000 0.000
0.000 0.500 0.628
0.500 0.000 0.372
0.000 0.000 0.500
0.000 0.500 0.868
0.500 0.000 0.132
0.500 0.500 0.500
0.500 0.500 0.000
```

***

First-principles (PBE) data for a relaxed Ti4GaAs crystal, as listed in Alexandria via LeMat-Bulk.

Computed properties:
VASP energy, eV/atom: -6.946
ΔH_f (0 K), eV per formula unit: -2.4
Calculated volume, Å³/cell: 204.6
E above lowest polymorph, meV per atom: 0.0

Structure (POSCAR):
```
Ti4GaAs
1.0
-3.122 3.122 5.248
3.122 -3.122 5.248
3.122 3.122 -5.248
Ti Ga As
8 2 2
Direct
0.011 0.511 0.807
0.204 0.011 0.500
0.296 0.796 0.807
0.489 0.296 0.500
0.511 0.704 0.500
0.704 0.204 0.193
0.796 0.989 0.500
0.989 0.489 0.193
0.250 0.250 0.000
0.750 0.750 0.000
0.000 0.000 0.000
0.500 0.500 0.000
```

***

First-principles (PBE) data for a relaxed TaTcS2N crystal, as listed in Alexandria via LeMat-Bulk.

Computed properties:
VASP energy, eV/atom: -7.118
Calculated volume, Å³/cell: 82.0
E above lowest polymorph, meV per atom: 241.3
Formation energy from raw total energies, eV/f.u.: 3.21

Structure (POSCAR):
```
TaTcS2N
1.0
4.741 0.000 0.000
0.000 4.741 0.000
0.000 0.000 3.646
Ta Tc S N
1 1 2 1
Direct
0.000 0.000 0.000
0.500 0.500 0.500
0.000 0.500 0.500
0.500 0.000 0.500
0.500 0.500 0.000
```

***

First-principles (PBE) data for a relaxed PaVCl6 crystal, as listed in Alexandria via LeMat-Bulk.

Computed properties:
VASP energy, eV/atom: -5.297
Calculated volume, Å³/cell: 240.4
Formation energy from raw total energies, eV/f.u.: -12.68

Structure (POSCAR):
```
PaVCl6
1.0
3.174 -6.257 0.000
3.174 6.257 0.000
-1.914 0.000 6.051
Pa V Cl
1 1 6
Direct
0.000 0.000 0.000
0.500 0.500 0.500
0.129 0.411 0.268
0.257 0.257 0.740
0.411 0.129 0.268
0.589 0.871 0.732
0.743 0.743 0.260
0.871 0.589 0.732
```